A geometry-optimized Cs2RbBi2 structure. Source: Alexandria, functional PBE-GGA.

Geometry as POSCAR:
```
Cs2RbBi2
1.0
9.612 0.000 0.000
0.000 9.612 0.000
0.000 0.000 6.011
Cs Rb Bi
4 2 4
Cartesian
1.605 3.201 0.000
3.201 8.007 0.000
6.411 1.605 0.000
8.007 6.411 0.000
0.000 0.000 3.006
4.806 4.806 3.006
1.065 5.871 3.006
3.741 1.065 3.006
5.871 8.547 3.006
8.547 3.741 3.006
```

Properties
**Total magnetization**: 1.0 μB/f.u.
**Relative energy among the computed polymorphs**: 0.015 eV/atom
**DFT total energy**: -2.38 eV per atom
**ΔE_f**: -296 meV/atom
**V**: 555.4 Å³/cell
**Symmetry**: P4/mbm (127)
**Density of states at the Fermi level**: 7.159 states/eV/cell